Version P
BaNd2Ga: relaxed, GGA-PBE.

Cell and atoms, written as CIF:
```
data_BaNd2Ga
_chemical_formula_sum 'Ba1 Nd2 Ga1'
_cell_length_a 3.776
_cell_length_b 3.776
_cell_length_c 9.946
_cell_angle_alpha 90.00
_cell_angle_beta 90.00
_cell_angle_gamma 90.00
_symmetry_space_group_name_H-M 'P 1'
_symmetry_Int_Tables_number 1
loop_
_symmetry_equiv_pos_as_xyz
'x,y,z'
loop_
_atom_site_label
_atom_site_fract_x
_atom_site_fract_y
_atom_site_fract_z
_atom_site_occupancy
Ba1 0.500 0.500 0.500 1
Nd1 0.000 0.000 0.827 1
Nd2 0.000 0.000 0.173 1
Ga1 0.500 0.500 0.000 1
```

***

Version Q
BaNd2Ga: relaxed, GGA-PBE.

Cell and atoms, written as CIF:
```
data_BaNd2Ga
_chemical_formula_sum 'Ba1 Nd2 Ga1'
_cell_length_a 3.894
_cell_length_b 3.894
_cell_length_c 11.354
_cell_angle_alpha 80.13
_cell_angle_beta 80.13
_cell_angle_gamma 60.00
_symmetry_space_group_name_H-M 'P 1'
_symmetry_Int_Tables_number 1
loop_
_symmetry_equiv_pos_as_xyz
'x,y,z'
loop_
_atom_site_label
_atom_site_fract_x
_atom_site_fract_y
_atom_site_fract_z
_atom_site_occupancy
Ba1 0.500 0.500 0.500 1
Nd1 0.270 0.270 0.189 1
Nd2 0.730 0.730 0.811 1
Ga1 0.000 0.000 0.000 1
```

***

List of relative energies, unit eV/atom: version P 0.000; version Q 0.073

***

Version P
BaNdGa2: relaxed, GGA-PBE.

Cell and atoms, written as CIF:
```
data_BaNdGa2
_chemical_formula_sum 'Ba1 Nd1 Ga2'
_cell_length_a 3.894
_cell_length_b 3.894
_cell_length_c 7.791
_cell_angle_alpha 90.00
_cell_angle_beta 90.00
_cell_angle_gamma 90.00
_symmetry_space_group_name_H-M 'P 1'
_symmetry_Int_Tables_number 1
loop_
_symmetry_equiv_pos_as_xyz
'x,y,z'
loop_
_atom_site_label
_atom_site_fract_x
_atom_site_fract_y
_atom_site_fract_z
_atom_site_occupancy
Ga1 0.000 0.000 0.204 1
Ga2 0.000 0.000 0.796 1
Nd1 0.500 0.500 0.000 1
Ba1 0.500 0.500 0.500 1
```

***

Version Q
BaNdGa2: relaxed, GGA-PBE.

Cell and atoms, written as CIF:
```
data_BaNdGa2
_chemical_formula_sum 'Ba1 Nd1 Ga2'
_cell_length_a 3.974
_cell_length_b 3.974
_cell_length_c 9.738
_cell_angle_alpha 78.23
_cell_angle_beta 78.23
_cell_angle_gamma 60.00
_symmetry_space_group_name_H-M 'P 1'
_symmetry_Int_Tables_number 1
loop_
_symmetry_equiv_pos_as_xyz
'x,y,z'
loop_
_atom_site_label
_atom_site_fract_x
_atom_site_fract_y
_atom_site_fract_z
_atom_site_occupancy
Ba1 0.500 0.500 0.500 1
Ga1 0.743 0.743 0.772 1
Ga2 0.257 0.257 0.228 1
Nd1 0.000 0.000 0.000 1
```

***

List of relative energies, unit eV/atom: version P 0.000; version Q 0.247

***

Version P
BaNdGa4: relaxed, GGA-PBE.

Cell and atoms, written as CIF:
```
data_BaNdGa4
_chemical_formula_sum 'Ba1 Nd1 Ga4'
_cell_length_a 4.293
_cell_length_b 6.424
_cell_length_c 6.423
_cell_angle_alpha 92.95
_cell_angle_beta 70.48
_cell_angle_gamma 70.48
_symmetry_space_group_name_H-M 'P 1'
_symmetry_Int_Tables_number 1
loop_
_symmetry_equiv_pos_as_xyz
'x,y,z'
loop_
_atom_site_label
_atom_site_fract_x
_atom_site_fract_y
_atom_site_fract_z
_atom_site_occupancy
Ga1 0.666 0.563 0.604 1
Ga2 0.334 0.896 0.937 1
Ga3 0.666 0.104 0.063 1
Ga4 0.334 0.437 0.396 1
Nd1 0.000 0.500 0.000 1
Ba1 0.000 0.000 0.500 1
```

***

Version Q
BaNdGa4: relaxed, GGA-PBE.

Cell and atoms, written as CIF:
```
data_BaNdGa4
_chemical_formula_sum 'Ba1 Nd1 Ga4'
_cell_length_a 5.810
_cell_length_b 5.810
_cell_length_c 5.810
_cell_angle_alpha 60.00
_cell_angle_beta 60.00
_cell_angle_gamma 60.00
_symmetry_space_group_name_H-M 'P 1'
_symmetry_Int_Tables_number 1
loop_
_symmetry_equiv_pos_as_xyz
'x,y,z'
loop_
_atom_site_label
_atom_site_fract_x
_atom_site_fract_y
_atom_site_fract_z
_atom_site_occupancy
Ga1 0.626 0.626 0.123 1
Ga2 0.123 0.626 0.626 1
Ga3 0.626 0.123 0.626 1
Ga4 0.626 0.626 0.626 1
Ba1 0.250 0.250 0.250 1
Nd1 0.000 0.000 0.000 1
```

***

List of relative energies, unit eV/atom: version P 0.000; version Q 0.097

***

Version P
BaGa3Ni3: relaxed, GGA-PBE.

Cell and atoms, written as CIF:
```
data_BaGa3Ni3
_chemical_formula_sum 'Ba2 Ga6 Ni6'
_cell_length_a 6.591
_cell_length_b 6.591
_cell_length_c 8.569
_cell_angle_alpha 67.38
_cell_angle_beta 67.38
_cell_angle_gamma 60.00
_symmetry_space_group_name_H-M 'P 1'
_symmetry_Int_Tables_number 1
loop_
_symmetry_equiv_pos_as_xyz
'x,y,z'
loop_
_atom_site_label
_atom_site_fract_x
_atom_site_fract_y
_atom_site_fract_z
_atom_site_occupancy
Ba1 0.336 0.336 0.991 1
Ba2 0.664 0.664 0.009 1
Ni1 0.224 0.471 0.630 1
Ni2 0.675 0.224 0.630 1
Ni3 0.325 0.776 0.370 1
Ni4 0.776 0.529 0.370 1
Ni5 0.471 0.675 0.630 1
Ni6 0.529 0.325 0.370 1
Ga1 0.589 0.957 0.336 1
Ga2 0.957 0.118 0.336 1
Ga3 0.043 0.882 0.664 1
Ga4 0.411 0.043 0.664 1
Ga5 0.118 0.589 0.336 1
Ga6 0.882 0.411 0.664 1
```

***

Version Q
BaGa3Ni3: relaxed, GGA-PBE.

Cell and atoms, written as CIF:
```
data_BaGa3Ni3
_chemical_formula_sum 'Ba2 Ga6 Ni6'
_cell_length_a 6.636
_cell_length_b 6.636
_cell_length_c 6.636
_cell_angle_alpha 90.00
_cell_angle_beta 90.00
_cell_angle_gamma 90.00
_symmetry_space_group_name_H-M 'P 1'
_symmetry_Int_Tables_number 1
loop_
_symmetry_equiv_pos_as_xyz
'x,y,z'
loop_
_atom_site_label
_atom_site_fract_x
_atom_site_fract_y
_atom_site_fract_z
_atom_site_occupancy
Ni1 0.750 0.000 0.500 1
Ni2 0.500 0.250 0.000 1
Ni3 0.500 0.750 0.000 1
Ni4 0.000 0.500 0.750 1
Ni5 0.000 0.500 0.250 1
Ni6 0.250 0.000 0.500 1
Ga1 0.500 0.000 0.750 1
Ga2 0.000 0.750 0.500 1
Ga3 0.750 0.500 0.000 1
Ga4 0.500 0.000 0.250 1
Ga5 0.250 0.500 0.000 1
Ga6 0.000 0.250 0.500 1
Ba1 0.000 0.000 0.000 1
Ba2 0.500 0.500 0.500 1
```

***

List of relative energies, unit eV/atom: version P 0.000; version Q 0.079

***

Version P
BaGa3O: relaxed, GGA-PBE.

Cell and atoms, written as CIF:
```
data_BaGa3O
_chemical_formula_sum 'Ba1 Ga3 O1'
_cell_length_a 4.871
_cell_length_b 4.871
_cell_length_c 4.871
_cell_angle_alpha 90.00
_cell_angle_beta 90.00
_cell_angle_gamma 90.00
_symmetry_space_group_name_H-M 'P 1'
_symmetry_Int_Tables_number 1
loop_
_symmetry_equiv_pos_as_xyz
'x,y,z'
loop_
_atom_site_label
_atom_site_fract_x
_atom_site_fract_y
_atom_site_fract_z
_atom_site_occupancy
Ga1 0.000 0.500 0.000 1
Ga2 0.000 0.000 0.500 1
Ga3 0.500 0.000 0.000 1
Ba1 0.500 0.500 0.500 1
O1 0.000 0.000 0.000 1
```

***

Version Q
BaGa3O: relaxed, GGA-PBE.

Cell and atoms, written as CIF:
```
data_BaGa3O
_chemical_formula_sum 'Ba1 Ga3 O1'
_cell_length_a 6.169
_cell_length_b 6.169
_cell_length_c 6.169
_cell_angle_alpha 90.00
_cell_angle_beta 90.00
_cell_angle_gamma 90.00
_symmetry_space_group_name_H-M 'P 1'
_symmetry_Int_Tables_number 1
loop_
_symmetry_equiv_pos_as_xyz
'x,y,z'
loop_
_atom_site_label
_atom_site_fract_x
_atom_site_fract_y
_atom_site_fract_z
_atom_site_occupancy
O1 0.500 0.500 0.500 1
Ga1 0.500 0.000 0.000 1
Ga2 0.000 0.500 0.000 1
Ga3 0.000 0.000 0.500 1
Ba1 0.000 0.000 0.000 1
```

***

List of relative energies, unit eV/atom: version P 0.000; version Q 1.608

***

Version P
Ba2Ga2O: relaxed, GGA-PBE.

Cell and atoms, written as CIF:
```
data_Ba2Ga2O
_chemical_formula_sum 'Ba4 Ga4 O2'
_cell_length_a 7.359
_cell_length_b 7.359
_cell_length_c 5.891
_cell_angle_alpha 90.00
_cell_angle_beta 90.00
_cell_angle_gamma 90.00
_symmetry_space_group_name_H-M 'P 1'
_symmetry_Int_Tables_number 1
loop_
_symmetry_equiv_pos_as_xyz
'x,y,z'
loop_
_atom_site_label
_atom_site_fract_x
_atom_site_fract_y
_atom_site_fract_z
_atom_site_occupancy
Ba1 0.796 0.704 0.000 1
Ba2 0.704 0.204 0.000 1
Ba3 0.296 0.796 0.000 1
Ba4 0.204 0.296 0.000 1
Ga1 0.882 0.382 0.500 1
Ga2 0.118 0.618 0.500 1
Ga3 0.618 0.882 0.500 1
Ga4 0.382 0.118 0.500 1
O1 0.500 0.500 0.000 1
O2 0.000 0.000 0.000 1
```

***

Version Q
Ba2Ga2O: relaxed, GGA-PBE.

Cell and atoms, written as CIF:
```
data_Ba2Ga2O
_chemical_formula_sum 'Ba2 Ga2 O1'
_cell_length_a 3.692
_cell_length_b 3.692
_cell_length_c 9.617
_cell_angle_alpha 78.93
_cell_angle_beta 78.93
_cell_angle_gamma 90.00
_symmetry_space_group_name_H-M 'P 1'
_symmetry_Int_Tables_number 1
loop_
_symmetry_equiv_pos_as_xyz
'x,y,z'
loop_
_atom_site_label
_atom_site_fract_x
_atom_site_fract_y
_atom_site_fract_z
_atom_site_occupancy
Ba1 0.587 0.587 0.826 1
Ba2 0.413 0.413 0.174 1
Ga1 0.750 0.250 0.500 1
Ga2 0.250 0.750 0.500 1
O1 0.000 0.000 0.000 1
```

***

List of relative energies, unit eV/atom: version P 0.071; version Q 0.000